Computed, not measured: an optimized crystal structure of HfZrTlC at the PBE level of DFT.

a = 3.3635 Å, b = 3.3635 Å, c = 15.0128 Å
α = 90.00°, β = 90.00°, γ = 120.00°
Positions (direct):
C  0.0000  0.0000  0.0000
C  0.0000  0.0000  0.5000
Hf  0.3333  0.6667  0.0801
Hf  0.6667  0.3333  0.9199
Tl  0.6667  0.3333  0.2481
Tl  0.3333  0.6667  0.7519
Zr  0.3333  0.6667  0.4178
Zr  0.6667  0.3333  0.5822

Summary:
crystal system	trigonal
space-group type	P-3m1 (164)
excess energy over the best structure of this formula in the dataset	0.011	eV per formula unit